# 1
# Tb3Tl5O12

A relaxed Tb3Tl5O12 crystal (PBE, Alexandria via LeMat-Bulk).

Lattice parameters (Å, degrees): 11.6691 11.6691 11.6691 109.47 109.47 109.47
Last column: nearest neighbours and their distance in Å.
Fractional positions:
Tb 0.1250 0.2500 0.3750  8 O 2.47-2.50
Tb 0.1250 0.3750 0.7500  8 O 2.47-2.50
Tb 0.2500 0.3750 0.1250  8 O 2.47-2.50
Tb 0.2500 0.8750 0.6250  8 O 2.47-2.50
Tb 0.3750 0.1250 0.2500  8 O 2.47-2.50
Tb 0.3750 0.7500 0.1250  8 O 2.47-2.50
Tb 0.6250 0.2500 0.8750  8 O 2.47-2.50
Tb 0.6250 0.8750 0.7500  8 O 2.47-2.50
Tb 0.7500 0.1250 0.3750  8 O 2.47-2.50
Tb 0.7500 0.6250 0.8750  8 O 2.47-2.50
Tb 0.8750 0.6250 0.2500  8 O 2.47-2.50
Tb 0.8750 0.7500 0.6250  8 O 2.47-2.50
Tl 0.0000 0.0000 0.0000  6 O 2.29
Tl 0.0000 0.0000 0.5000  6 O 2.29
Tl 0.0000 0.5000 0.0000  6 O 2.29
Tl 0.0000 0.5000 0.5000  6 O 2.29
Tl 0.1250 0.7500 0.8750  4 O 2.15
Tl 0.1250 0.8750 0.2500  4 O 2.15
Tl 0.2500 0.1250 0.8750  4 O 2.15
Tl 0.2500 0.6250 0.3750  4 O 2.15
Tl 0.3750 0.2500 0.6250  4 O 2.15
Tl 0.3750 0.6250 0.7500  4 O 2.15
Tl 0.5000 0.0000 0.0000  6 O 2.29
Tl 0.5000 0.0000 0.5000  6 O 2.29
Tl 0.5000 0.5000 0.0000  6 O 2.29
Tl 0.5000 0.5000 0.5000  6 O 2.29
Tl 0.6250 0.3750 0.2500  4 O 2.15
Tl 0.6250 0.7500 0.3750  4 O 2.15
Tl 0.7500 0.3750 0.6250  4 O 2.15
Tl 0.7500 0.8750 0.1250  4 O 2.15
Tl 0.8750 0.1250 0.7500  4 O 2.15
Tl 0.8750 0.2500 0.1250  4 O 2.15
O 0.0515 0.2224 0.1384  2 Tl 2.15-2.29
O 0.0515 0.3291 0.9131  2 Tl 2.15-2.29
O 0.0840 0.7224 0.6709  2 Tl 2.15-2.29
O 0.0840 0.8616 0.4131  2 Tl 2.15-2.29
O 0.0869 0.6384 0.4160  2 Tl 2.15-2.29
O 0.0869 0.9485 0.6709  2 Tl 2.15-2.29
O 0.1384 0.0515 0.2224  2 Tl 2.15-2.29
O 0.1384 0.5869 0.9160  2 Tl 2.15-2.29
O 0.1709 0.2224 0.5840  2 Tl 2.15-2.29
O 0.1709 0.4485 0.5869  2 Tl 2.15-2.29
O 0.2224 0.1384 0.0515  2 Tl 2.15-2.29
O 0.2224 0.5840 0.1709  2 Tl 2.15-2.29
O 0.2776 0.3291 0.9160  2 Tl 2.15-2.29
O 0.2776 0.4485 0.3616  2 Tl 2.15-2.29
O 0.3291 0.9131 0.0515  2 Tl 2.15-2.29
O 0.3291 0.9160 0.2776  2 Tl 2.15-2.29
O 0.3616 0.2776 0.4485  2 Tl 2.15-2.29
O 0.3616 0.5840 0.9131  2 Tl 2.15-2.29
O 0.4131 0.0840 0.8616  2 Tl 2.15-2.29
O 0.4131 0.8291 0.5515  2 Tl 2.15-2.29
O 0.4160 0.0869 0.6384  2 Tl 2.15-2.29
O 0.4160 0.8291 0.7776  2 Tl 2.15-2.29
O 0.4485 0.3616 0.2776  2 Tl 2.15-2.29
O 0.4485 0.5869 0.1709  2 Tl 2.15-2.29
O 0.5515 0.4131 0.8291  2 Tl 2.15-2.29
O 0.5515 0.6384 0.7224  2 Tl 2.15-2.29
O 0.5840 0.1709 0.2224  2 Tl 2.15-2.29
O 0.5840 0.9131 0.3616  2 Tl 2.15-2.29
O 0.5869 0.1709 0.4485  2 Tl 2.15-2.29
O 0.5869 0.9160 0.1384  2 Tl 2.15-2.29
O 0.6384 0.4160 0.0869  2 Tl 2.15-2.29
O 0.6384 0.7224 0.5515  2 Tl 2.15-2.29
O 0.6709 0.0840 0.7224  2 Tl 2.15-2.29
O 0.6709 0.0869 0.9485  2 Tl 2.15-2.29
O 0.7224 0.5515 0.6384  2 Tl 2.15-2.29
O 0.7224 0.6709 0.0840  2 Tl 2.15-2.29
O 0.7776 0.4160 0.8291  2 Tl 2.15-2.29
O 0.7776 0.8616 0.9485  2 Tl 2.15-2.29
O 0.8291 0.5515 0.4131  2 Tl 2.15-2.29
O 0.8291 0.7776 0.4160  2 Tl 2.15-2.29
O 0.8616 0.4131 0.0840  2 Tl 2.15-2.29
O 0.8616 0.9485 0.7776  2 Tl 2.15-2.29
O 0.9131 0.0515 0.3291  2 Tl 2.15-2.29
O 0.9131 0.3616 0.5840  2 Tl 2.15-2.29
O 0.9160 0.1384 0.5869  2 Tl 2.15-2.29
O 0.9160 0.2776 0.3291  2 Tl 2.15-2.29
O 0.9485 0.6709 0.0869  2 Tl 2.15-2.29
O 0.9485 0.7776 0.8616  2 Tl 2.15-2.29

Computed properties:
Final energy   -118.30 eV/f.u.
Formation energy without anion corrections   -1654 meV per atom
N(E_F)   15.86 states/eV/cell
Density   9181 kg/m3
Space-group type   Ia-3d
Magnetic moment   0.00 Bohr magnetons per cell

# 2
# Tb5Tl4O

A relaxed Tb5Tl4O crystal (PBE, Alexandria via LeMat-Bulk).

Lattice parameters (Å, degrees): 7.3162 7.3162 7.3162 99.18 99.18 132.91
Last column: nearest neighbours and their distance in Å.
Fractional positions:
Tb 0.0000 0.0000 0.0000  1 O 2.46
Tb 0.3109 0.6565 0.9030  1 O 2.42
Tb 0.4079 0.3109 0.6545  1 O 2.42
Tb 0.6565 0.7534 0.3455  1 O 2.42
Tb 0.7534 0.4079 0.0970  1 O 2.42
Tl 0.0799 0.3705 0.3847  5 Tb 3.11-3.24, 1 Tl 3.21
Tl 0.3705 0.9858 0.2906  5 Tb 3.11-3.24, 1 Tl 3.21
Tl 0.6952 0.0799 0.7094  5 Tb 3.11-3.24, 1 Tl 3.21
Tl 0.9858 0.6952 0.6153  5 Tb 3.11-3.24, 1 Tl 3.21
O 0.5798 0.5798 0.0000  5 Tb 2.42-2.46

Computed properties:
Final energy   -44.30 eV/f.u.
Formation energy without anion corrections   -673 meV per atom
N(E_F)   7.56 states/eV/cell
Density   10282 kg/m3
Space-group type   I4
Magnetic moment   0.00 Bohr magnetons per cell

# 3
# Tb6Tl5O

A relaxed Tb6Tl5O crystal (PBE, Alexandria via LeMat-Bulk).

Lattice parameters (Å, degrees): 7.1586 7.1586 6.7796 98.01 98.01 108.53
Last column: nearest neighbours and their distance in Å.
Fractional positions:
Tb 0.0432 0.3333 0.6860  1 O 2.44
Tb 0.1777 0.1777 0.2025  1 O 2.78
Tb 0.3333 0.0432 0.6860  1 O 2.44
Tb 0.6667 0.9568 0.3140  1 O 2.44
Tb 0.8223 0.8223 0.7975  1 O 2.78
Tb 0.9568 0.6667 0.3140  1 O 2.44
Tl 0.2321 0.7679 0.0000  6 Tb 3.10-3.27, 1 Tl 3.11
Tl 0.3709 0.6291 0.5000  1 Tl 3.00, 6 Tb 3.16-3.31
Tl 0.5000 0.5000 0.0000  2 Tl 3.11, 6 Tb 3.30-3.39
Tl 0.6291 0.3709 0.5000  1 Tl 3.00, 6 Tb 3.16-3.31
Tl 0.7679 0.2321 0.0000  6 Tb 3.10-3.27, 1 Tl 3.11
O 0.0000 0.0000 0.5000  4 Tb 2.44

Computed properties:
Final energy   -52.32 eV/f.u.
Formation energy without anion corrections   -646 meV per atom
N(E_F)   9.67 states/eV/cell
Density   10337 kg/m3
Space-group type   C2/m
Magnetic moment   0.00 Bohr magnetons per cell

# 4
# Tb2TlO2

A relaxed Tb2TlO2 crystal (PBE, Alexandria via LeMat-Bulk).

Lattice parameters (Å, degrees): 3.8798 3.8798 14.1522 90.00 90.00 90.00
Last column: nearest neighbours and their distance in Å.
Fractional positions:
Tb 0.0000 0.0000 0.1704  4 O 2.24
Tb 0.0000 0.0000 0.8296  4 O 2.24
Tb 0.5000 0.5000 0.3296  4 O 2.24
Tb 0.5000 0.5000 0.6704  4 O 2.24
Tl 0.0000 0.0000 0.5000  8 Tb 3.65, 4 Tl 3.88, 8 O 4.03
Tl 0.5000 0.5000 0.0000  8 Tb 3.65, 4 Tl 3.88, 8 O 4.03
O 0.0000 0.5000 0.2500  4 Tb 2.24
O 0.0000 0.5000 0.7500  4 Tb 2.24
O 0.5000 0.0000 0.2500  4 Tb 2.24
O 0.5000 0.0000 0.7500  4 Tb 2.24

Computed properties:
Final energy   -33.76 eV/f.u.
Formation energy without anion corrections   -2444 meV per atom
N(E_F)   6.82 states/eV/cell
Density   8640 kg/m3
Space-group type   I4/mmm
Magnetic moment   0.00 Bohr magnetons per cell

# 5
# TbTlO

A relaxed TbTlO crystal (PBE, Alexandria via LeMat-Bulk).

Lattice parameters (Å, degrees): 3.2679 3.2679 12.9139 90.00 90.00 90.00
Last column: nearest neighbours and their distance in Å.
Fractional positions:
Tb 0.0000 0.0000 0.0000  4 O 2.31
Tb 0.5000 0.5000 0.5000  4 O 2.31
Tl 0.0000 0.0000 0.2656  1 O 3.14, 4 Tl 3.27, 1 Tb 3.43
Tl 0.5000 0.5000 0.7656  1 O 3.14, 4 Tl 3.27, 1 Tb 3.43
O 0.0000 0.0000 0.5085  4 Tb 2.31
O 0.5000 0.5000 0.0085  4 Tb 2.31

Computed properties:
Final energy   -17.19 eV/f.u.
Formation energy without anion corrections   -1745 meV per atom
N(E_F)   2.79 states/eV/cell
Density   9134 kg/m3
Offset from the most stable computed form   124.2 meV per atom
Space-group type   I4mm
Magnetic moment   0.00 Bohr magnetons per cell

# 6
# Tb2TlO

A relaxed Tb2TlO crystal (PBE, Alexandria via LeMat-Bulk).

Lattice parameters (Å, degrees): 7.7578 10.5669 4.5562 90.00 90.00 90.00
Last column: nearest neighbours and their distance in Å.
Fractional positions:
Tb 0.0000 0.0000 0.0000  2 O 2.30
Tb 0.0000 0.5000 0.5000  4 O 2.77
Tb 0.2500 0.2500 0.0000  2 O 2.67
Tb 0.2500 0.7500 0.0000  2 O 2.67
Tb 0.5000 0.0000 0.5000  4 O 2.77
Tb 0.5000 0.5000 0.0000  2 O 2.30
Tb 0.7500 0.2500 0.0000  2 O 2.67
Tb 0.7500 0.7500 0.0000  2 O 2.67
Tl 0.0000 0.2050 0.5000  7 Tb 3.03-3.14
Tl 0.0000 0.7950 0.5000  7 Tb 3.03-3.14
Tl 0.5000 0.2950 0.5000  7 Tb 3.03-3.14
Tl 0.5000 0.7050 0.5000  7 Tb 3.03-3.14
O 0.2036 0.5000 0.0000  1 Tb 2.30
O 0.2964 0.0000 0.0000  1 Tb 2.30
O 0.7036 0.0000 0.0000  1 Tb 2.30
O 0.7964 0.5000 0.0000  1 Tb 2.30

Computed properties:
Final energy   -21.63 eV/f.u.
Formation energy without anion corrections   -1262 meV per atom
N(E_F)   7.60 states/eV/cell
Density   9572 kg/m3
Offset from the most stable computed form   309.2 meV per atom
Space-group type   Cmmm
Magnetic moment   0.00 Bohr magnetons per cell

# 7
# Tb2TlO

A relaxed Tb2TlO crystal (PBE, Alexandria via LeMat-Bulk).

Lattice parameters (Å, degrees): 3.5821 3.5821 23.1398 90.00 90.00 120.00
Last column: nearest neighbours and their distance in Å.
Fractional positions:
Tb 0.0000 0.0000 0.2233  3 O 2.45
Tb 0.0000 0.0000 0.7767  3 O 2.45
Tb 0.3333 0.6667 0.4433  3 O 2.45
Tb 0.3333 0.6667 0.8900  3 O 2.45
Tb 0.6667 0.3333 0.1100  3 O 2.45
Tb 0.6667 0.3333 0.5567  3 O 2.45
Tl 0.0000 0.0000 0.0000  6 Tb 3.28, 6 Tl 3.58
Tl 0.3333 0.6667 0.6667  6 Tb 3.28, 6 Tl 3.58
Tl 0.6667 0.3333 0.3333  6 Tb 3.28, 6 Tl 3.58
O 0.0000 0.0000 0.5000  6 Tb 2.45
O 0.3333 0.6667 0.1667  6 Tb 2.45
O 0.6667 0.3333 0.8333  6 Tb 2.45

Computed properties:
Final energy   -22.81 eV/f.u.
Formation energy without anion corrections   -1556 meV per atom
N(E_F)   3.68 states/eV/cell
Density   10427 kg/m3
Offset from the most stable computed form   14.8 meV per atom
Space-group type   R-3m
Magnetic moment   0.00 Bohr magnetons per cell

# 8
# Tb4TlO

A relaxed Tb4TlO crystal (PBE, Alexandria via LeMat-Bulk).

Lattice parameters (Å, degrees): 8.3389 8.3389 7.1645 106.30 106.30 39.45
Last column: nearest neighbours and their distance in Å.
Fractional positions:
Tb 0.1000 0.1213 0.4194  1 O 2.49
Tb 0.1213 0.1000 0.9194  1 O 2.49
Tb 0.2964 0.3175 0.7974  2 O 2.41-2.45
Tb 0.3175 0.2964 0.2974  2 O 2.41-2.45
Tb 0.6825 0.7036 0.7026  2 O 2.41-2.45
Tb 0.7036 0.6825 0.2026  2 O 2.41-2.45
Tb 0.8787 0.9000 0.0806  1 O 2.49
Tb 0.9000 0.8787 0.5806  1 O 2.49
Tl 0.4867 0.5133 0.2500  6 Tb 3.15-3.35
Tl 0.5133 0.4867 0.7500  6 Tb 3.15-3.35
O 0.0000 0.5000 0.5000  6 Tb 2.41-2.49
O 0.5000 0.0000 0.0000  6 Tb 2.41-2.49

Computed properties:
Final energy   -32.13 eV/f.u.
Formation energy without anion corrections   -1048 meV per atom
N(E_F)   9.53 states/eV/cell
Density   9409 kg/m3
Space-group type   C2/c
Magnetic moment   0.00 Bohr magnetons per cell

# 9
# Tb4Tl3O

A relaxed Tb4Tl3O crystal (PBE, Alexandria via LeMat-Bulk).

Lattice parameters (Å, degrees): 7.3538 8.9543 7.0593 90.00 90.00 90.00
Last column: nearest neighbours and their distance in Å.
Fractional positions:
Tb 0.0000 0.1114 0.0000  1 O 2.26
Tb 0.0000 0.7327 0.3214  1 O 2.25
Tb 0.2367 0.7800 0.8829  1 O 2.22
Tb 0.2633 0.2200 0.3829  1 O 2.22
Tb 0.5000 0.2673 0.8214  1 O 2.25
Tb 0.5000 0.8886 0.5000  1 O 2.26
Tb 0.7367 0.2200 0.3829  1 O 2.22
Tb 0.7633 0.7800 0.8829  1 O 2.22
Tl 0.0000 0.0044 0.5849  6 Tb 3.06-3.39
Tl 0.2154 0.4632 0.0692  4 Tb 3.13-3.39, 1 Tl 3.17
Tl 0.2846 0.5369 0.5692  4 Tb 3.13-3.39, 1 Tl 3.17
Tl 0.5000 0.9956 0.0849  6 Tb 3.06-3.39
Tl 0.7154 0.5369 0.5692  4 Tb 3.13-3.39, 1 Tl 3.17
Tl 0.7846 0.4632 0.0692  4 Tb 3.13-3.39, 1 Tl 3.17
O 0.0000 0.8623 0.0478  4 Tb 2.22-2.26
O 0.5000 0.1377 0.5478  4 Tb 2.22-2.26

Computed properties:
Final energy   -36.88 eV/f.u.
Formation energy without anion corrections   -787 meV per atom
N(E_F)   7.15 states/eV/cell
Density   9037 kg/m3
Space-group type   Pmn2_1
Magnetic moment   0.00 Bohr magnetons per cell

# 10
# Tb2TlO

A relaxed Tb2TlO crystal (PBE, Alexandria via LeMat-Bulk).

Lattice parameters (Å, degrees): 3.1461 3.1461 7.9509 90.00 90.00 90.00
Last column: nearest neighbours and their distance in Å.
Fractional positions:
Tb 0.0000 0.0000 0.1950  4 O 2.71
Tb 0.0000 0.0000 0.8050  4 O 2.71
Tl 0.5000 0.5000 0.5000  4 Tl 3.15, 8 Tb 3.29
O 0.5000 0.5000 0.0000  8 Tb 2.71

Computed properties:
Final energy   -20.81 eV/f.u.
Formation energy without anion corrections   -1057 meV per atom
N(E_F)   2.82 states/eV/cell
Density   11357 kg/m3
Offset from the most stable computed form   513.8 meV per atom
Space-group type   P4/mmm
Magnetic moment   0.00 Bohr magnetons per cell

# 11
# TbUTl2O8

A relaxed TbUTl2O8 crystal (PBE, Alexandria via LeMat-Bulk).

Lattice parameters (Å, degrees): 5.1857 5.1857 6.9024 90.00 90.00 91.32
Last column: nearest neighbours and their distance in Å.
Fractional positions:
Tb 0.0000 0.0000 0.0000  6 O 2.23-2.31
U 0.0000 0.0000 0.5000  6 O 2.04-2.18
Tl 0.5000 0.5000 0.2493  6 O 2.21-2.40
Tl 0.5000 0.5000 0.7507  6 O 2.21-2.40
O 0.1773 0.8227 0.2748  1 U 2.04
O 0.1773 0.8227 0.7252  1 U 2.04
O 0.3003 0.3003 0.5000  1 U 2.18, 2 Tl 2.26
O 0.3080 0.3080 0.0000  2 Tl 2.21, 1 Tb 2.23
O 0.6920 0.6920 0.0000  2 Tl 2.21, 1 Tb 2.23
O 0.6997 0.6997 0.5000  1 U 2.18, 2 Tl 2.26
O 0.8227 0.1773 0.2748  1 U 2.04
O 0.8227 0.1773 0.7252  1 U 2.04

Computed properties:
Final energy   -83.83 eV/f.u.
Formation energy without anion corrections   -1960 meV per atom
N(E_F)   8.13 states/eV/cell
Density   8355 kg/m3
Space-group type   Cmmm
Magnetic moment   0.00 Bohr magnetons per cell